Computed, not measured: crystalline K3Mn2InCl9 at its relaxed geometry at the PBE-GGA level of DFT.

Properties
**Mass density**: 2.641 g cm⁻³
**Density of states at the Fermi level**: 3.1 states/eV/f.u.
**Calculated total energy**: -0.1515 Ha/atom
**Calculated volume**: 415.6 Å³ per cell

a = 7.2674 Å, b = 7.2674 Å, c = 9.0868 Å
α = 90.00°, β = 90.00°, γ = 120.00°
With the nearest neighbours (Å) after each atom.
Space group P-3m1 (No. 164)
One atom of each set of equivalent atoms:
K 0.0000 0.0000 0.0000 [1 per cell]  12 Cl 3.61-3.63
K 0.3333 0.6667 0.6975 [2 per cell]  9 Cl 3.46-3.64
Mn 0.3333 0.6667 0.1615 [2 per cell]  6 Cl 2.47-2.56
In 0.0000 0.0000 0.5000 [1 per cell]  6 Cl 2.74
Cl 0.0000 0.5000 0.0000 [3 per cell]  2 Mn 2.56
Cl 0.1728 0.3456 0.3174 [6 per cell]  1 Mn 2.47, 1 In 2.74


Computed, not measured: crystalline LaMg2Si2 at its relaxed geometry at the PBE-GGA level of DFT.

Properties
**Mass density**: 3.570 g cm⁻³
**Density of states at the Fermi level**: 1.5 states/eV/f.u.
**Energy relative to the lowest polymorph listed for this composition**: 0.309 eV/atom
**Calculated total energy**: -0.1458 Ha/atom
**Calculated volume**: 226.7 Å³ per cell

a = 4.7086 Å, b = 4.7086 Å, c = 10.2246 Å
α = 90.00°, β = 90.00°, γ = 90.00°
With the nearest neighbours (Å) after each atom.
Space group I4/mmm (No. 139)
One atom of each set of equivalent atoms:
La 0.0000 0.0000 0.0000 [2 per cell]  8 Si 3.48, 10 Mg 3.60-3.73
Mg 0.0000 0.0000 0.3652 [4 per cell]  4 Si 2.63, 1 Mg 2.76
Si 0.0000 0.5000 0.2500 [4 per cell]  4 Mg 2.63


Computed, not measured: crystalline GdYCdHg at its relaxed geometry at the PBE-GGA level of DFT.

Properties
**Mass density**: 8.805 g cm⁻³
**Density of states at the Fermi level**: 4.6 states/eV/f.u.
**Calculated total energy**: -0.2155 Ha/atom
**Calculated volume**: 421.8 Å³ per cell
**ΔH_f (0 K)**: -0.425 eV/atom

a = 7.4995 Å, b = 7.4995 Å, c = 7.4995 Å
α = 90.00°, β = 90.00°, γ = 90.00°
With the nearest neighbours (Å) after each atom.
Space group F-43m (No. 216)
One atom of each set of equivalent atoms:
Gd 0.0000 0.0000 0.0000 [4 per cell]  4 Hg 3.25, 4 Cd 3.25
Y 0.0000 0.0000 0.5000 [4 per cell]  4 Hg 3.25, 4 Cd 3.25
Cd 0.2500 0.2500 0.2500 [4 per cell]  4 Gd 3.25, 4 Y 3.25
Hg 0.2500 0.2500 0.7500 [4 per cell]  4 Gd 3.25, 4 Y 3.25


Computed, not measured: crystalline Mg2TcGeC at its relaxed geometry at the PBE-GGA level of DFT.

Properties
**Mass density**: 3.831 g cm⁻³
**Density of states at the Fermi level**: 3.9 states/eV/f.u.
**Calculated total energy**: -0.1442 Ha/atom
**Calculated volume**: 100.2 Å³ per cell
**ΔH_f (0 K)**: 1.556 eV/atom

a = 5.2880 Å, b = 5.2880 Å, c = 3.5845 Å
α = 90.00°, β = 90.00°, γ = 90.00°
With the nearest neighbours (Å) after each atom.
Space group P4/mmm (No. 123)
One atom of each set of equivalent atoms:
Mg 0.0000 0.5000 0.0000 [2 per cell]  2 Ge 2.64
Tc 0.0000 0.0000 0.5000 [1 per cell]  8 Mg 3.19
Ge 0.5000 0.5000 0.0000 [1 per cell]  2 C 1.79
C 0.5000 0.5000 0.5000 [1 per cell]  2 Ge 1.79


Computed, not measured: crystalline Rb2UGaSe4 at its relaxed geometry at the PBE-GGA level of DFT.

Properties
**Mass density**: 4.273 g cm⁻³
**Density of states at the Fermi level**: 1.9 states/eV/f.u.
**Calculated total energy**: -0.1723 Ha/atom
**Calculated volume**: 2470.0 Å³ per cell

a = 6.3912 Å, b = 14.8282 Å, c = 26.0628 Å
α = 90.00°, β = 90.00°, γ = 90.00°
With the nearest neighbours (Å) after each atom.
Space group Fddd (No. 70, origin choice 2)
One atom of each set of equivalent atoms:
Rb 0.1250 0.1250 0.3061 [16 per cell]  8 Se 3.73-4.07
U 0.1250 0.1250 0.1250 [8 per cell]  4 Se 2.74
Ga 0.1250 0.1250 0.6250 [8 per cell]  4 Se 2.50
Se 0.0939 0.2721 0.8212 [32 per cell]  1 Ga 2.50, 1 U 2.74


Computed, not measured: crystalline LiPmSiPt at its relaxed geometry at the PBE-GGA level of DFT.

Properties
**Mass density**: 8.046 g cm⁻³
**Density of states at the Fermi level**: 1.1 states/eV/f.u.
**Energy relative to the lowest polymorph listed for this composition**: 0.000 eV/atom
**Calculated total energy**: -0.1962 Ha/atom
**Calculated volume**: 232.2 Å³ per cell

a = 4.3578 Å, b = 4.3578 Å, c = 14.1215 Å
α = 90.00°, β = 90.00°, γ = 120.00°
With the nearest neighbours (Å) after each atom.
Space group R3m (No. 160, hexagonal axes)
One atom of each set of equivalent atoms:
Li 0.0000 0.0000 0.0000 [3 per cell]  3 Pt 2.73, 3 Si 2.73, 1 Pm 2.88
Pm 0.0000 0.0000 0.2036 [3 per cell]  4 Li 2.88-3.11, 4 Pt 2.90-3.10, 3 Si 3.10
Si 0.0000 0.0000 0.7425 [3 per cell]  3 Pt 2.52, 3 Li 2.73
Pt 0.0000 0.0000 0.4088 [3 per cell]  3 Si 2.52, 3 Li 2.73


Computed, not measured: crystalline NdTm4Cu at its relaxed geometry at the PBE-GGA level of DFT.

Properties
**Mass density**: 8.841 g cm⁻³
**Density of states at the Fermi level**: 8.9 states/eV/f.u.
**Calculated total energy**: -0.1659 Ha/atom
**Calculated volume**: 165.9 Å³ per cell
**ΔH_f (0 K)**: -0.057 eV/atom

a = 3.4904 Å, b = 3.4904 Å, c = 13.6208 Å
α = 90.00°, β = 90.00°, γ = 90.00°
With the nearest neighbours (Å) after each atom.
Space group P4/mmm (No. 123)
One atom of each set of equivalent atoms:
Nd 0.0000 0.0000 0.0000 [1 per cell]  4 Nd 3.49, 8 Tm 3.57
Tm 0.0000 0.0000 0.3779 [2 per cell]  4 Cu 2.98, 1 Tm 3.33
Tm 0.5000 0.5000 0.1893 [2 per cell]  8 Tm 3.49-3.56, 4 Nd 3.57
Cu 0.5000 0.5000 0.5000 [1 per cell]  8 Tm 2.98


Computed, not measured: crystalline TbDyY2Er at its relaxed geometry at the PBE-GGA level of DFT.

Properties
**Mass density**: 6.583 g cm⁻³
**Density of states at the Fermi level**: 8.7 states/eV/f.u.
**Calculated total energy**: -0.1822 Ha/atom
**Calculated volume**: 672.5 Å³ per cell
**ΔH_f (0 K)**: 0.386 eV/atom

a = 6.3660 Å, b = 16.5879 Å, c = 6.3682 Å
α = 90.00°, β = 90.00°, γ = 90.00°
With the nearest neighbours (Å) after each atom.
Space group Cmcm (No. 63)
One atom of each set of equivalent atoms:
Tb 0.0000 0.1579 0.2500 [4 per cell]  1 Dy 3.06
Dy 0.0000 0.3425 0.2500 [4 per cell]  1 Tb 3.06
Y 0.2501 0.0000 0.0000 [8 per cell]  4 Y 3.18, 2 Dy 3.45, 2 Tb 3.45
Er 0.0000 0.2503 0.7500 [4 per cell]  4 Tb 3.53, 4 Dy 3.53-3.54